SbAsCl2 | PBE | optimized geometry

Lattice parameters (Å, degrees): 3.2908 5.8660 9.3464 90.00 90.00 90.00
Last column: nearest neighbours and their distance in Å.
Space group Cmmm (No. 65)
One atom of each set of equivalent atoms:
Sb (0.0000, 0.0000, 0.0000) (multiplicity 2)  4 Cl 3.00, 2 Sb 3.29
As (0.0000, 0.0000, 0.5000) (multiplicity 2)  4 Cl 2.72
Cl (0.0000, 0.5000, 0.2686) (multiplicity 4)  2 As 2.72, 2 Sb 3.00

VASP energy ... -3.062 eV per atom
Formation energy (no corrections) ... 0.055 eV/atom
Magnetic moment ... 0.0 μB per formula unit